Computed, not measured: a relaxed structure of Ac3DyTl6 at the PBE level of DFT.

The structure belongs to space group Fm-3m (No. 225); the cell edges are 11.841, 11.841 and 11.841 Å and the angles 90.00°, 90.00° and 90.00°. The asymmetric unit holds Ac at (0.000, 0.000, 0.000), Ac at (0.250, 0.250, 0.250), Dy at (0.000, 0.000, 0.500) and Tl at (0.000, 0.000, 0.259).

Its total energy is -2.83 eV per atom. The total magnetic moment comes out at 0.00 μB/cell. The mass density is 8.28 g/cm³.

=====

Computed, not measured: a relaxed structure of Pr3Dy4Ho3 at the PBE level of DFT.

The structure belongs to space group Amm2 (No. 38); the cell edges are 3.706, 13.352 and 13.446 Å and the angles 90.00°, 90.00° and 90.00°. The asymmetric unit holds Pr at (0.000, 0.000, 0.000), Pr at (0.000, 0.174, 0.672), Dy at (0.500, 0.000, 0.545), Dy at (0.500, 0.000, 0.799), Dy at (0.500, 0.125, 0.176), Ho at (0.000, 0.000, 0.347) and Ho at (0.500, 0.246, 0.421).

Its total energy is -4.55 eV per atom. The total magnetic moment comes out at 0.00 μB/cell. The mass density is 7.82 g/cm³.

=====

Computed, not measured: a relaxed structure of Cs2Pr2PtO6 at the PBE level of DFT.

The structure belongs to space group C2/m (No. 12); the cell edges are 6.141, 10.517 and 7.231 Å and the angles 90.00°, 104.21° and 90.00°. The asymmetric unit holds Cs at (0.000, 0.164, 0.000), Pr at (0.000, 0.335, 0.500), Pt at (0.000, 0.000, 0.500), O at (0.194, 0.150, 0.656) and O at (0.245, 0.000, 0.339).

Its total energy is -6.20 eV per atom. The raw formation energy comes out at -1927 meV/atom. The total magnetic moment comes out at 0.00 μB/cell. The mass density is 6.15 g/cm³.

=====

Computed, not measured: a relaxed structure of PrSm2Tm8 at the PBE level of DFT.

The structure belongs to space group C2/m (No. 12); the cell edges are 18.018, 5.002 and 7.901 Å and the angles 90.00°, 105.23° and 90.00°. The asymmetric unit holds Pr at (0.000, 0.000, 0.000), Sm at (0.228, 0.500, 0.637), Tm at (0.045, 0.500, 0.726), Tm at (0.090, 0.000, 0.456), Tm at (0.137, 0.500, 0.181) and Tm at (0.182, 0.000, 0.908).

Its total energy is -4.52 eV per atom. Its energy above the most stable polymorph in this dataset is 0.000 eV per atom. The total magnetic moment comes out at 0.00 μB/cell. The mass density is 8.67 g/cm³.

=====

Computed, not measured: a relaxed structure of TiMnCo2 at the PBE level of DFT.

The structure belongs to space group Fm-3m (No. 225); the cell edges are 5.839, 5.839 and 5.839 Å and the angles 90.00°, 90.00° and 90.00°. The asymmetric unit holds Ti at (0.000, 0.000, 0.000), Mn at (0.000, 0.000, 0.500) and Co at (0.250, 0.250, 0.250).

Its total energy is -8.10 eV per atom. The total magnetic moment comes out at 19.62 μB/cell. The mass density is 7.36 g/cm³.

=====

Computed, not measured: a relaxed structure of K4F at the PBE level of DFT.

The structure belongs to space group Pm-3m (No. 221); the cell edges are 6.112, 6.112 and 6.112 Å and the angles 90.00°, 90.00° and 90.00°. The asymmetric unit holds K at (0.000, 0.000, 0.000), K at (0.000, 0.500, 0.500) and F at (0.500, 0.500, 0.500).

Its total energy is -2.18 eV per atom. The raw formation energy comes out at -928 meV/atom. The total magnetic moment comes out at 0.00 μB/cell. The mass density is 1.28 g/cm³.

=====

Computed, not measured: a relaxed structure of CrRu3 at the PBE level of DFT.

The structure belongs to space group Pm-3n (No. 223); the cell edges are 4.797, 4.797 and 4.797 Å and the angles 90.00°, 90.00° and 90.00°. The asymmetric unit holds Cr at (0.000, 0.000, 0.000) and Ru at (0.000, 0.250, 0.500).

Its total energy is -9.04 eV per atom. The total magnetic moment comes out at 0.00 μB/cell. The mass density is 10.69 g/cm³.

=====

Computed, not measured: a relaxed structure of VCrFe2Au at the PBE level of DFT.

The structure belongs to space group P4/mmm (No. 123); the cell edges are 4.074, 4.074 and 4.827 Å and the angles 90.00°, 90.00° and 90.00°. The asymmetric unit holds V at (0.000, 0.000, 0.000), Cr at (0.500, 0.500, 0.500), Fe at (0.000, 0.500, 0.000) and Au at (0.000, 0.000, 0.500).

Its total energy is -6.29 eV per atom. The total magnetic moment comes out at 0.26 μB/cell. The mass density is 8.53 g/cm³.

=====

Computed, not measured: a relaxed structure of GeSeF at the PBE level of DFT.

The structure belongs to space group P-1 (No. 2); the cell edges are 3.656, 5.876 and 8.024 Å and the angles 100.52°, 103.16° and 90.02°. The asymmetric unit holds Ge at (0.079, 0.489, 0.157), Se at (0.371, 0.709, 0.742) and F at (0.131, 0.785, 0.260).

Its total energy is -4.44 eV per atom. Its energy above the most stable polymorph in this dataset is 0.000 eV per atom. The raw formation energy comes out at -1114 meV/atom. The total magnetic moment comes out at 0.00 μB/cell. The mass density is 3.44 g/cm³.

=====

Computed, not measured: a relaxed structure of Hf3Zr5In2 at the PBE level of DFT.

The structure belongs to space group P2/m (No. 10); the cell edges are 7.847, 3.200 and 9.423 Å and the angles 90.00°, 104.54° and 90.00°. The asymmetric unit holds Hf at (0.000, 0.000, 0.000), Hf at (0.383, 0.000, 0.194), Zr at (0.098, 0.500, 0.301), Zr at (0.304, 0.500, 0.902), Zr at (0.500, 0.500, 0.500) and In at (0.213, 0.000, 0.606).

Its total energy is -7.92 eV per atom. The total magnetic moment comes out at 0.00 μB/cell. The mass density is 8.85 g/cm³.

=====

Computed, not measured: a relaxed structure of La6Tc2NCl3 at the PBE level of DFT.

The structure belongs to space group C2/m (No. 12); the cell edges are 6.993, 11.864 and 7.991 Å and the angles 90.00°, 107.51° and 90.00°. The asymmetric unit holds La at (0.204, 0.000, 0.289), La at (0.242, 0.158, 0.691), Tc at (0.000, 0.370, 0.500), N at (0.000, 0.000, 0.500), Cl at (0.000, 0.182, 0.000) and Cl at (0.000, 0.500, 0.000).

Its total energy is -6.39 eV per atom. The raw formation energy comes out at -1039 meV/atom. The total magnetic moment comes out at 0.00 μB/cell. The mass density is 6.04 g/cm³.

=====

Computed, not measured: a relaxed structure of Ca2InSi4Pt3 at the PBE level of DFT.

The structure belongs to space group P-4m2 (No. 115); the cell edges are 4.216, 4.216 and 10.463 Å and the angles 90.00°, 90.00° and 90.00°. The asymmetric unit holds Ca at (0.000, 0.500, 0.241), In at (0.000, 0.000, 0.500), Si at (0.000, 0.000, 0.000), Si at (0.000, 0.500, 0.654), Si at (0.500, 0.500, 0.000), Pt at (0.000, 0.500, 0.882) and Pt at (0.500, 0.500, 0.500).

Its total energy is -5.41 eV per atom. The raw formation energy comes out at -758 meV/atom. The total magnetic moment comes out at 0.00 μB/cell. The mass density is 7.97 g/cm³.